The following is a GGA-PBE calculation of a relaxed La2NdAg crystal, from the Alexandria database.

Output
energy above the most stable polymorph in this dataset	111	meV per atom
D(E_F)	5.04	states/eV per cell
final energy	-17.47	eV per cell
DFT formation energy	0.001	eV/atom

```
data_La2NdAg
_chemical_formula_sum 'La2 Nd1 Ag1'
_symmetry_space_group_name_H-M 'P 1'
_symmetry_Int_Tables_number 1
_cell_length_a 3.772
_cell_length_b 3.772
_cell_length_c 10.957
_cell_angle_alpha 99.81
_cell_angle_beta 99.81
_cell_angle_gamma 60.17
loop_
_symmetry_equiv_pos_as_xyz
'x,y,z'
loop_
_atom_site_label
_atom_site_type_symbol
_atom_site_fract_x
_atom_site_fract_y
_atom_site_fract_z
La1 La 0.000 0.000 0.000
La2 La 0.185 0.185 0.558
Nd1 Nd 0.760 0.760 0.281
Ag1 Ag 0.592 0.592 0.777
```